Entry from Alexandria via LeMat-Bulk: an optimized crystal structure of NpN2F4 (PBE).

Computed properties:
**Formation energy (no corrections)**: -2.430 eV/atom
**Total moment**: 3.0 μB/f.u.

Structure (extended XYZ):
```
7
Lattice="3.860 0.000 0.000 -0.015 3.861 0.000 -0.484 -0.547 8.659" Properties=species:S:1:pos:R:3 pbc="T T T"
Np 0.000 0.000 0.000
N 1.301 1.275 4.468
N 2.060 2.040 4.191
F 0.013 1.947 1.220
F 1.421 3.281 7.439
F 1.940 0.034 1.220
F 3.348 1.368 7.439
```

Entry from Alexandria via LeMat-Bulk: an optimized crystal structure of PmNpN2F (PBE).

Computed properties:
**Formation energy (no corrections)**: -2.012 eV/atom
**Total moment**: 2.8 μB/f.u.

Structure (extended XYZ):
```
10
Lattice="3.535 0.000 0.000 0.000 3.535 0.000 0.000 0.000 11.166" Properties=species:S:1:pos:R:3 pbc="T T T"
Pm 0.884 0.884 1.693
Pm 2.651 2.651 9.473
Np 0.884 0.884 6.758
Np 2.651 2.651 4.408
N 0.884 0.884 4.398
N 0.884 0.884 8.774
N 2.651 2.651 2.392
N 2.651 2.651 6.769
F 0.884 2.651 0.000
F 2.651 0.884 0.000
```

Entry from Alexandria via LeMat-Bulk: an optimized crystal structure of OsN2OF (PBE).

Computed properties:
**Formation energy (no corrections)**: 0.459 eV/atom
**Total moment**: 1.5 μB/f.u.

Structure (extended XYZ):
```
5
Lattice="3.845 0.000 0.000 0.000 3.845 0.000 0.000 0.000 3.759" Properties=species:S:1:pos:R:3 pbc="T T T"
Os 0.000 0.000 0.000
N 0.000 1.922 0.000
N 1.922 0.000 0.000
O 0.000 0.000 1.880
F 1.922 1.922 1.880
```

Repeat the first record exactly.
Entry from Alexandria via LeMat-Bulk: an optimized crystal structure of NpN2F4 (PBE).

Computed properties:
**Formation energy (no corrections)**: -2.430 eV/atom
**Total moment**: 3.0 μB/f.u.

Structure (extended XYZ):
```
7
Lattice="3.860 0.000 0.000 -0.015 3.861 0.000 -0.484 -0.547 8.659" Properties=species:S:1:pos:R:3 pbc="T T T"
Np 0.000 0.000 0.000
N 1.301 1.275 4.468
N 2.060 2.040 4.191
F 0.013 1.947 1.220
F 1.421 3.281 7.439
F 1.940 0.034 1.220
F 3.348 1.368 7.439
```

Look up the formation energy (no corrections) of the second one. -2.012 eV/atom

What is the formation energy (no corrections) in the first record? -2.430 eV/atom